The following is a GGA-PBE calculation of La4TbHo2 after structural relaxation, from the Alexandria database.

Cell lengths 6.970, 9.090, 9.090 Å; angles 79.25, 67.46, 67.46 degrees
Positions (direct):
La (0.153, 0.348, 0.346)
La (0.153, 0.846, 0.848)
La (0.225, 0.243, 0.743)
La (0.790, 0.243, 0.743)
La (0.210, 0.757, 0.257)
La (0.847, 0.154, 0.152)
La (0.775, 0.757, 0.257)
La (0.847, 0.652, 0.654)
Tb (0.000, 0.500, 0.000)
Tb (0.500, 0.500, 0.000)
Ho (0.285, 0.965, 0.465)
Ho (0.500, 0.000, 0.000)
Ho (0.500, 0.500, 0.500)
Ho (0.715, 0.035, 0.535)

Output
Its electronic total energy is -0.3351 Ry per atom. Its space-group type is Imma (74).